# 1
Compound: Pm3Al2In3
Source: the Alexandria database
Functional: PBE
Structure: optimized geometry

Cell lengths 4.607, 6.194, 15.753 Å; angles 90.00, 90.00, 111.83 degrees
Element x y z (fractional)
Pm1 0.927 0.853 0.388
Pm2 0.073 0.147 0.888
Pm3 0.927 0.853 0.112
Pm4 0.073 0.147 0.612
Pm5 0.648 0.297 0.250
Pm6 0.352 0.703 0.750
Al1 0.783 0.567 0.889
Al2 0.217 0.433 0.389
Al3 0.783 0.567 0.611
Al4 0.217 0.433 0.111
In1 0.626 0.252 0.462
In2 0.374 0.748 0.962
In3 0.626 0.252 0.038
In4 0.374 0.748 0.538
In5 0.369 0.737 0.250
In6 0.631 0.263 0.750

For the volume, the calculation gives 26.08 A^3/atom. The value obtained for the density of states at the Fermi level is 0.938 states/eV per atom. For the calculated formation energy, the calculation gives -0.460 eV/atom. The total magnetization is 0.054 μB/atom.

=====

# 2
Compound: BaSr2Zn4
Source: the Alexandria database
Functional: PBE
Structure: optimized geometry

Cell lengths 4.633, 4.629, 10.553 Å; angles 102.67, 102.68, 90.00 degrees
Element x y z (fractional)
Ba1 0.500 0.000 0.000
Sr1 0.814 0.814 0.629
Sr2 0.186 0.186 0.371
Zn1 0.636 0.636 0.272
Zn2 0.364 0.364 0.728
Zn3 0.067 0.567 0.135
Zn4 0.933 0.433 0.865

For the volume, the calculation gives 30.73 A^3/atom. The value obtained for the density of states at the Fermi level is 0.811 states/eV per atom. For the calculated formation energy, the calculation gives -0.196 eV/atom. The total magnetization is 0.000 μB/atom.

=====

# 3
Compound: Sr2LiCl
Source: the Alexandria database
Functional: PBE
Structure: optimized geometry

Cell lengths 3.990, 3.990, 9.775 Å; angles 90.00, 90.00, 112.15 degrees
Element x y z (fractional)
Cl1 0.500 0.500 0.250
Li1 0.500 0.500 0.750
Sr1 0.000 0.000 0.016
Sr2 0.000 0.000 0.484

For the volume, the calculation gives 36.03 A^3/atom. Its formation energy (no corrections) is -0.70 eV/atom. The value obtained for the density of states at the Fermi level is 0.565 states/eV per atom. The total magnetization is 0.000 μB/atom.

=====

# 4
Compound: YHgTe3
Source: the Alexandria database
Functional: PBE
Structure: optimized geometry

Cell lengths 5.895, 5.895, 5.895 Å; angles 90.00, 90.00, 90.00 degrees
Element x y z (fractional)
Y1 0.000 0.000 0.000
Te1 0.000 0.500 0.000
Te2 0.000 0.000 0.500
Te3 0.500 0.000 0.000
Hg1 0.500 0.500 0.500

For the volume, the calculation gives 40.98 A^3/atom. Its formation energy (no corrections) is -0.20 eV/atom. The value obtained for the density of states at the Fermi level is 1.246 states/eV per atom. The total magnetization is 0.382 μB/atom.

=====

# 5
Compound: K2LiZn
Source: the Alexandria database
Functional: PBE
Structure: optimized geometry

Cell lengths 4.904, 5.208, 6.953 Å; angles 67.98, 90.00, 90.00 degrees
Element x y z (fractional)
K1 0.000 0.978 0.917
K2 0.500 0.278 0.320
Li1 0.000 0.670 0.535
Zn1 0.500 0.574 0.728

For the volume, the calculation gives 41.16 A^3/atom. The value obtained for the density of states at the Fermi level is 0.697 states/eV per atom. For the calculated formation energy, the calculation gives 0.124 eV/atom. The total magnetization is 0.000 μB/atom.

=====

# 6
Compound: Tl2AgAu
Source: the Alexandria database
Functional: PBE
Structure: optimized geometry

Cell lengths 4.161, 4.161, 7.432 Å; angles 73.75, 73.75, 60.00 degrees
Element x y z (fractional)
Tl1 0.080 0.080 0.759
Tl2 0.253 0.253 0.241
Ag1 0.501 0.501 0.497
Au1 0.665 0.665 0.004

For the volume, the calculation gives 26.36 A^3/atom. The value obtained for the density of states at the Fermi level is 0.205 states/eV per atom. For the calculated formation energy, the calculation gives 0.123 eV/atom. The total magnetization is 0.000 μB/atom.

=====

# 7
Compound: MgCdN2F
Source: the Alexandria database
Functional: PBE
Structure: optimized geometry

Cell lengths 4.196, 4.196, 4.385 Å; angles 90.00, 90.00, 90.00 degrees
Element x y z (fractional)
N1 0.000 0.500 0.000
N2 0.500 0.000 0.000
Mg1 0.500 0.500 0.500
F1 0.000 0.000 0.500
Cd1 0.000 0.000 0.000

For the volume, the calculation gives 15.44 A^3/atom. Its formation energy (no corrections) is 0.69 eV/atom. The value obtained for the density of states at the Fermi level is 0.648 states/eV per atom. The total magnetization is 0.386 μB/atom.

=====

# 8
Compound: Li2TbScTl4
Source: the Alexandria database
Functional: PBE
Structure: optimized geometry

Cell lengths 5.104, 5.104, 8.865 Å; angles 73.27, 73.27, 60.00 degrees
Element x y z (fractional)
Li1 0.751 0.751 0.748
Li2 0.249 0.249 0.252
Tb1 0.000 0.000 0.000
Sc1 0.500 0.500 0.500
Tl1 0.379 0.379 0.864
Tl2 0.872 0.872 0.383
Tl3 0.128 0.128 0.617
Tl4 0.621 0.621 0.136

For the volume, the calculation gives 23.57 A^3/atom. The value obtained for the density of states at the Fermi level is 0.269 states/eV per atom. For the calculated formation energy, the calculation gives -0.284 eV/atom. The total magnetization is 0.000 μB/atom.

=====

# 9
Compound: Rb2Ce2TiSe6
Source: the Alexandria database
Functional: PBE
Structure: optimized geometry

Cell lengths 7.124, 7.124, 8.537 Å; angles 98.41, 98.41, 119.30 degrees
Element x y z (fractional)
Rb1 0.828 0.172 0.000
Rb2 0.172 0.828 0.000
Ce1 0.333 0.667 0.500
Ce2 0.667 0.333 0.500
Ti1 0.000 0.000 0.500
Se1 0.761 0.761 0.687
Se2 0.067 0.373 0.689
Se3 0.239 0.239 0.313
Se4 0.373 0.067 0.689
Se5 0.933 0.627 0.311
Se6 0.627 0.933 0.311

For the volume, the calculation gives 32.88 A^3/atom. Its formation energy (no corrections) is -1.49 eV/atom. The value obtained for the density of states at the Fermi level is 1.339 states/eV per atom. The total magnetization is 0.183 μB/atom.

=====

# 10
Compound: Ac7Cd2Pd2
Source: the Alexandria database
Functional: PBE
Structure: optimized geometry

Cell lengths 7.517, 7.795, 7.517 Å; angles 90.00, 109.90, 90.00 degrees
Element x y z (fractional)
Ac1 0.000 0.259 0.500
Ac2 0.500 0.741 0.000
Ac3 0.000 0.741 0.500
Ac4 0.500 0.259 0.000
Ac5 0.000 0.000 0.000
Ac6 0.500 0.750 0.500
Ac7 0.500 0.250 0.500
Cd1 0.834 0.500 0.834
Cd2 0.166 0.500 0.166
Pd1 0.706 0.000 0.294
Pd2 0.294 0.000 0.706

For the volume, the calculation gives 37.65 A^3/atom. The value obtained for the density of states at the Fermi level is 1.097 states/eV per atom. For the calculated formation energy, the calculation gives -0.273 eV/atom. The total magnetization is 0.000 μB/atom.

=====

# 11
Compound: Pm12ZnRh6
Source: the Alexandria database
Functional: PBE
Structure: optimized geometry

Cell lengths 8.749, 8.749, 8.749 Å; angles 109.47, 109.47, 109.47 degrees
Element x y z (fractional)
Pm1 0.303 0.117 0.814
Pm2 0.303 0.489 0.186
Pm3 0.697 0.511 0.814
Pm4 0.697 0.883 0.186
Pm5 0.117 0.814 0.303
Pm6 0.489 0.186 0.303
Pm7 0.511 0.814 0.697
Pm8 0.883 0.186 0.697
Pm9 0.814 0.303 0.117
Pm10 0.186 0.303 0.489
Pm11 0.814 0.697 0.511
Pm12 0.186 0.697 0.883
Zn1 0.000 0.000 0.000
Rh1 0.368 0.500 0.868
Rh2 0.632 0.500 0.132
Rh3 0.500 0.868 0.368
Rh4 0.500 0.132 0.632
Rh5 0.868 0.368 0.500
Rh6 0.132 0.632 0.500

For the volume, the calculation gives 27.13 A^3/atom. The value obtained for the density of states at the Fermi level is 1.034 states/eV per atom. For the calculated formation energy, the calculation gives -0.482 eV/atom. The total magnetization is 0.000 μB/atom.

=====

# 12
Compound: K6Rb3O
Source: the Alexandria database
Functional: PBE
Structure: optimized geometry

Cell lengths 12.093, 9.491, 12.800 Å; angles 111.76, 90.00, 90.00 degrees
Element x y z (fractional)
K1 0.965 0.708 0.821
K2 0.465 0.887 0.179
K3 0.196 0.001 0.608
K4 0.696 0.394 0.392
K5 0.226 0.944 0.887
K6 0.927 0.777 0.553
K7 0.427 0.223 0.447
K8 0.726 0.056 0.113
K9 0.196 0.606 0.608
K10 0.696 0.999 0.392
K11 0.965 0.113 0.821
K12 0.465 0.292 0.179
Rb1 0.579 0.642 0.764
Rb2 0.079 0.877 0.236
Rb3 0.273 0.465 0.930
Rb4 0.773 0.535 0.070
Rb5 0.079 0.358 0.236
Rb6 0.579 0.123 0.764
O1 0.080 0.858 0.715
O2 0.580 0.142 0.285

For the volume, the calculation gives 68.22 A^3/atom. Its formation energy (no corrections) is -0.28 eV/atom. The value obtained for the density of states at the Fermi level is 0.618 states/eV per atom. The total magnetization is 0.000 μB/atom.